First-principles (PBE-GGA) data for a relaxed structure of Ce8GeTe4As3, as listed in Alexandria.

Cell: 8.668 8.785 8.668 Å, 119.56 120.00 90.00°
Site moments in Bohr magnetons follow the coordinates.
Atoms (fractional coordinates):
Te  0.000  0.000  0.500  0.01
As  0.500  0.500  0.500  0.01
Ce  0.758  0.275  0.516  -0.75
Ce  0.258  0.275  0.016  -0.75
Ce  0.742  0.725  0.484  0.76
Te  0.500  0.000  0.000  0.02
Ge  0.000  0.500  0.000  0.04
Te  0.500  0.000  0.500  0.01
Ce  0.742  0.725  0.984  -0.75
Ce  0.242  0.725  0.984  -0.75
Ce  0.258  0.275  0.516  0.76
Ce  0.758  0.275  0.016  -0.75
As  0.500  0.500  0.000  0.01
Ce  0.242  0.725  0.484  -0.75
As  0.000  0.500  0.500  0.01
Te  0.000  0.000  0.000  0.01

Computed properties:
E_form (uncorrected) (eV per formula unit): -21.36

First-principles (PBE-GGA) data for a relaxed structure of CoSbCl2, as listed in Alexandria.

Cell: 8.529 8.529 8.529 Å, 24.36 24.36 24.36°
Site moments in Bohr magnetons follow the coordinates.
Atoms (fractional coordinates):
Cl  0.023  0.023  0.023  0.03
Sb  0.770  0.770  0.770  -0.01
Co  0.496  0.496  0.496  1.21
Cl  0.212  0.212  0.212  0.07

Computed properties:
Energy relative to the lowest polymorph listed for this composition (meV/atom): 4
E_form (uncorrected) (eV per formula unit): -1.01

First-principles (PBE-GGA) data for a relaxed structure of BaCdIn2Ir, as listed in Alexandria.

Cell: 5.236 5.236 6.009 Å, 90.00 90.00 90.00°
Atoms (fractional coordinates):
In  0.500  0.000  0.000
Ba  0.000  0.000  0.500
In  0.000  0.500  0.000
Ir  0.000  0.000  0.000
Cd  0.500  0.500  0.500

Computed properties:
Energy relative to the lowest polymorph listed for this composition (meV/atom): 130
Energy of formation (kJ per mole of atoms): -16.5

First-principles (PBE-GGA) data for a relaxed structure of MgPt2W, as listed in Alexandria.

Cell: 4.463 4.463 4.463 Å, 60.00 60.00 60.00°
Atoms (fractional coordinates):
Pt  0.250  0.250  0.250
Pt  0.000  0.000  0.000
W  0.750  0.750  0.750
Mg  0.500  0.500  0.500

Computed properties:
Energy of formation (kJ per mole of atoms): -6.5

First-principles (PBE-GGA) data for a relaxed structure of GeMo, as listed in Alexandria.

Cell: 6.976 6.976 6.976 Å, 90.00 90.00 90.00°
Site moments in Bohr magnetons follow the coordinates.
Atoms (fractional coordinates):
Mo  0.000  0.500  0.750  0.50
Mo  0.500  0.750  0.000  0.50
Ge  0.000  0.750  0.500  -0.03
Mo  0.250  0.000  0.500  0.50
Ge  0.500  0.000  0.250  -0.03
Ge  0.500  0.000  0.750  -0.03
Ge  0.750  0.500  0.000  -0.03
Ge  0.000  0.250  0.500  -0.03
Mo  0.750  0.000  0.500  0.50
Ge  0.250  0.500  0.000  -0.03
Mo  0.500  0.250  0.000  0.50
Mo  0.000  0.500  0.250  0.50

Computed properties:
Energy of formation (kJ per mole of atoms): 119.9

First-principles (PBE-GGA) data for a relaxed structure of Ca3CdGa, as listed in Alexandria.

Cell: 5.346 5.346 10.650 Å, 90.00 75.46 90.00°
Atoms (fractional coordinates):
Ca  0.396  0.250  0.856
Ca  0.252  0.750  0.144
Cd  0.165  0.250  0.318
Ca  0.574  0.250  0.500
Ca  0.074  0.750  0.500
Cd  0.483  0.750  0.682
Ca  0.753  0.250  0.143
Ga  0.667  0.750  0.315
Ca  0.896  0.750  0.857
Ga  0.982  0.250  0.685

Computed properties:
Energy relative to the lowest polymorph listed for this composition (meV/atom): 0
Energy of formation (kJ per mole of atoms): -32.2

First-principles (PBE-GGA) data for a relaxed structure of Sc2TcOs, as listed in Alexandria.

Cell: 8.623 8.623 8.623 Å, 20.47 20.47 20.47°
Atoms (fractional coordinates):
Os  0.750  0.750  0.750
Sc  0.000  0.000  0.000
Sc  0.500  0.500  0.500
Tc  0.250  0.250  0.250

Computed properties:
Energy of formation (kJ per mole of atoms): 4.3

First-principles (PBE-GGA) data for a relaxed structure of Cr2GaSi, as listed in Alexandria.

Cell: 6.623 6.623 5.353 Å, 51.78 51.78 90.00°
Site moments in Bohr magnetons follow the coordinates.
Atoms (fractional coordinates):
Cr  0.375  0.391  0.750  1.51
Ga  0.000  0.000  0.000  -0.07
Cr  0.141  0.625  0.250  1.51
Si  0.250  0.750  0.500  -0.06
Cr  0.609  0.125  0.250  1.51
Cr  0.875  0.859  0.750  1.51
Ga  0.750  0.250  0.500  -0.07
Si  0.500  0.500  0.000  -0.07

Computed properties:
E_form (uncorrected) (eV per formula unit): 1.70

First-principles (PBE-GGA) data for a relaxed structure of CeTm2Pb, as listed in Alexandria.

Cell: 4.746 4.651 11.505 Å, 101.63 90.00 90.00°
Site moments in Bohr magnetons follow the coordinates.
Atoms (fractional coordinates):
Ce  0.750  0.693  0.386  1.03
Pb  0.750  0.839  0.678  -0.03
Pb  0.250  0.161  0.322  -0.03
Tm  0.250  0.939  0.877  0.10
Tm  0.250  0.555  0.109  0.06
Ce  0.250  0.307  0.614  1.03
Tm  0.750  0.061  0.123  0.10
Tm  0.750  0.445  0.891  0.06

Computed properties:
Energy relative to the lowest polymorph listed for this composition (meV/atom): 21
Energy of formation (kJ per mole of atoms): -20.6

First-principles (PBE-GGA) data for a relaxed structure of Cd2W3, as listed in Alexandria.

Cell: 4.454 4.454 5.596 Å, 90.00 90.00 120.00°
Atoms (fractional coordinates):
Cd  0.333  0.667  0.840
W  0.333  0.667  0.364
Cd  0.667  0.333  0.160
W  0.000  0.000  0.000
W  0.667  0.333  0.636

Computed properties:
Energy relative to the lowest polymorph listed for this composition (meV/atom): 977
Energy of formation (kJ per mole of atoms): 161.2

First-principles (PBE-GGA) data for a relaxed structure of Na2TiMnW, as listed in Alexandria.

Cell: 4.893 4.038 4.893 Å, 90.00 90.00 90.00°
Atoms (fractional coordinates):
Na  0.500  0.000  0.000
W  0.500  0.500  0.500
Ti  0.000  0.000  0.000
Na  0.000  0.000  0.500
Mn  0.000  0.500  0.000

Computed properties:
Energy of formation (kJ per mole of atoms): 207.4

First-principles (PBE-GGA) data for a relaxed structure of PuCuRh4, as listed in Alexandria.

Cell: 5.211 5.211 5.211 Å, 60.00 60.00 60.00°
Site moments in Bohr magnetons follow the coordinates.
Atoms (fractional coordinates):
Pu  0.250  0.250  0.250  4.86
Cu  0.000  0.000  0.000  0.00
Rh  0.626  0.626  0.626  -0.27
Rh  0.626  0.123  0.626  -0.27
Rh  0.123  0.626  0.626  -0.27
Rh  0.626  0.626  0.123  -0.27

Computed properties:
Energy relative to the lowest polymorph listed for this composition (meV/atom): 0
Energy of formation (kJ per mole of atoms): -12.5

First-principles (PBE-GGA) data for a relaxed structure of Nd3Er6Tm2Th, as listed in Alexandria.

Cell: 6.162 6.162 11.751 Å, 95.02 95.02 120.03°
Atoms (fractional coordinates):
Er  0.918  0.588  0.754
Nd  0.167  0.833  0.500
Er  0.248  0.248  0.754
Nd  0.500  0.500  0.500
Th  0.000  0.000  0.000
Nd  0.833  0.167  0.500
Tm  0.333  0.667  0.000
Er  0.588  0.918  0.754
Tm  0.667  0.333  0.000
Er  0.082  0.412  0.246
Er  0.752  0.752  0.246
Er  0.412  0.082  0.246

Computed properties:
Energy of formation (kJ per mole of atoms): 2.0

First-principles (PBE-GGA) data for a relaxed structure of NaPuCd4, as listed in Alexandria.

Cell: 5.985 5.985 5.985 Å, 60.00 60.00 60.00°
Site moments in Bohr magnetons follow the coordinates.
Atoms (fractional coordinates):
Cd  0.625  0.625  0.126  0.02
Cd  0.126  0.625  0.625  0.02
Na  0.250  0.250  0.250  0.01
Pu  0.000  0.000  0.000  5.65
Cd  0.625  0.625  0.625  0.02
Cd  0.625  0.126  0.625  0.02

Computed properties:
Energy relative to the lowest polymorph listed for this composition (meV/atom): 102
Energy of formation (kJ per mole of atoms): -0.8

| no. | DFT total energy (eV/atom) | calculated volume (Å³ per atom) |
| --- | --- | --- |
| 1 | -6.248 | 29.36 |
| 2 | -3.983 | 23.20 |
| 3 | -3.606 | 32.95 |
| 4 | -6.725 | 15.72 |
| 5 | -6.481 | 28.29 |
| 6 | -2.323 | 29.47 |
| 7 | -8.520 | 17.16 |
| 8 | -6.499 | 14.22 |
| 9 | -4.859 | 31.09 |
| 10 | -6.468 | 19.23 |
| 11 | -4.381 | 19.33 |
| 12 | -8.102 | 16.68 |
| 13 | -4.816 | 31.69 |
| 14 | -3.227 | 25.27 |